Entry 1:
DFT (PBE) results for a geometry-optimized NaThHg14 structure.

a = 6.792 Å, b = 6.792 Å, c = 8.866 Å
α = 90.00°, β = 90.00°, γ = 90.00°
Fractional coordinates of all 16 atoms:
Na1 0.000 0.000 0.000
Th1 0.500 0.500 0.000
Hg1 0.000 0.000 0.500
Hg2 0.000 0.500 0.000
Hg3 0.000 0.500 0.500
Hg4 0.246 0.246 0.252
Hg5 0.246 0.246 0.748
Hg6 0.246 0.754 0.252
Hg7 0.246 0.754 0.748
Hg8 0.500 0.000 0.000
Hg9 0.500 0.000 0.500
Hg10 0.500 0.500 0.500
Hg11 0.754 0.246 0.252
Hg12 0.754 0.246 0.748
Hg13 0.754 0.754 0.252
Hg14 0.754 0.754 0.748

Properties
N(E_F)   5.94 states/eV per cell
Formation energy   -0.088 eV per atom

Entry 2:
DFT (PBE) results for a geometry-optimized NaTh3Hg4 structure.

a = 3.491 Å, b = 3.491 Å, c = 17.612 Å
α = 90.00°, β = 90.00°, γ = 90.00°
Fractional coordinates of all 8 atoms:
Na1 0.000 0.000 0.000
Th1 0.000 0.000 0.243
Th2 0.000 0.000 0.500
Th3 0.000 0.000 0.757
Hg1 0.500 0.500 0.117
Hg2 0.500 0.500 0.371
Hg3 0.500 0.500 0.629
Hg4 0.500 0.500 0.883

Properties
N(E_F)   7.93 states/eV per cell
Formation energy   -0.201 eV per atom

Entry 3:
DFT (PBE) results for a geometry-optimized NaThHg4 structure.

a = 3.328 Å, b = 5.062 Å, c = 8.941 Å
α = 90.00°, β = 90.00°, γ = 90.00°
Fractional coordinates of all 6 atoms:
Na1 0.000 0.000 0.000
Th1 0.000 0.500 0.500
Hg1 0.500 0.000 0.329
Hg2 0.500 0.000 0.671
Hg3 0.500 0.500 0.160
Hg4 0.500 0.500 0.840

Properties
N(E_F)   2.22 states/eV per cell
Formation energy   -0.232 eV per atom

Entry 4:
DFT (PBE) results for a geometry-optimized NaTh2Hg structure.

a = 3.416 Å, b = 3.416 Å, c = 37.707 Å
α = 90.00°, β = 90.00°, γ = 120.00°
Fractional coordinates of all 12 atoms:
Na1 0.000 0.000 0.000
Na2 0.333 0.667 0.667
Na3 0.667 0.333 0.333
Th1 0.000 0.000 0.095
Th2 0.000 0.000 0.905
Th3 0.333 0.667 0.571
Th4 0.333 0.667 0.762
Th5 0.667 0.333 0.238
Th6 0.667 0.333 0.429
Hg1 0.000 0.000 0.500
Hg2 0.333 0.667 0.167
Hg3 0.667 0.333 0.833

Properties
N(E_F)   10.81 states/eV per cell
Formation energy   0.168 eV per atom

Entry 5:
DFT (PBE) results for a geometry-optimized NaThTlHg structure.

a = 7.582 Å, b = 7.582 Å, c = 7.582 Å
α = 90.00°, β = 90.00°, γ = 90.00°
Fractional coordinates of all 16 atoms:
Na1 0.000 0.000 0.000
Na2 0.000 0.500 0.500
Na3 0.500 0.000 0.500
Na4 0.500 0.500 0.000
Th1 0.000 0.000 0.500
Th2 0.000 0.500 0.000
Th3 0.500 0.000 0.000
Th4 0.500 0.500 0.500
Tl1 0.250 0.250 0.750
Tl2 0.250 0.750 0.250
Tl3 0.750 0.250 0.250
Tl4 0.750 0.750 0.750
Hg1 0.250 0.250 0.250
Hg2 0.250 0.750 0.750
Hg3 0.750 0.250 0.750
Hg4 0.750 0.750 0.250

Properties
N(E_F)   8.73 states/eV per cell
Formation energy   -0.131 eV per atom

Entry 6:
DFT (PBE) results for a geometry-optimized Na3TiHg structure.

a = 6.095 Å, b = 6.095 Å, c = 6.095 Å
α = 90.00°, β = 90.00°, γ = 90.00°
Fractional coordinates of all 5 atoms:
Na1 0.000 0.000 0.500
Na2 0.000 0.500 0.000
Na3 0.500 0.000 0.000
Ti1 0.000 0.000 0.000
Hg1 0.500 0.500 0.500

Properties
N(E_F)   13.06 states/eV per cell
Formation energy   0.929 eV per atom

Entry 7:
DFT (PBE) results for a geometry-optimized NaTi2Hg structure.

a = 3.913 Å, b = 3.913 Å, c = 21.573 Å
α = 90.00°, β = 90.00°, γ = 90.00°
Fractional coordinates of all 16 atoms:
Na1 0.000 0.000 0.000
Na2 0.000 0.500 0.250
Na3 0.500 0.000 0.750
Na4 0.500 0.500 0.500
Ti1 0.231 0.250 0.625
Ti2 0.250 0.731 0.875
Ti3 0.250 0.769 0.375
Ti4 0.269 0.250 0.125
Ti5 0.731 0.750 0.125
Ti6 0.750 0.231 0.375
Ti7 0.750 0.269 0.875
Ti8 0.769 0.750 0.625
Hg1 0.000 0.000 0.500
Hg2 0.000 0.500 0.750
Hg3 0.500 0.000 0.250
Hg4 0.500 0.500 0.000

Properties
N(E_F)   27.90 states/eV per cell
Formation energy   0.538 eV per atom

Entry 8:
DFT (PBE) results for a geometry-optimized Na2TiHg2 structure.

a = 7.396 Å, b = 7.396 Å, c = 4.723 Å
α = 90.00°, β = 90.00°, γ = 90.00°
Fractional coordinates of all 10 atoms:
Na1 0.166 0.334 0.000
Na2 0.334 0.834 0.000
Na3 0.666 0.166 0.000
Na4 0.834 0.666 0.000
Ti1 0.000 0.000 0.500
Ti2 0.500 0.500 0.500
Hg1 0.145 0.645 0.500
Hg2 0.355 0.145 0.500
Hg3 0.645 0.855 0.500
Hg4 0.855 0.355 0.500

Properties
N(E_F)   13.59 states/eV per cell
Formation energy   0.173 eV per atom

Entry 9:
DFT (PBE) results for a geometry-optimized NaTi2Hg2 structure.

a = 8.388 Å, b = 8.388 Å, c = 3.029 Å
α = 90.00°, β = 90.00°, γ = 90.00°
Fractional coordinates of all 10 atoms:
Na1 0.000 0.000 0.000
Na2 0.500 0.500 0.000
Ti1 0.109 0.391 0.000
Ti2 0.391 0.891 0.000
Ti3 0.609 0.109 0.000
Ti4 0.891 0.609 0.000
Hg1 0.185 0.685 0.500
Hg2 0.315 0.185 0.500
Hg3 0.685 0.815 0.500
Hg4 0.815 0.315 0.500

Properties
N(E_F)   10.64 states/eV per cell
Formation energy   0.088 eV per atom

Entry 10:
DFT (PBE) results for a geometry-optimized Na3TiHg structure.

a = 5.598 Å, b = 5.598 Å, c = 5.598 Å
α = 90.00°, β = 90.00°, γ = 90.00°
Fractional coordinates of all 5 atoms:
Na1 0.000 0.000 0.500
Na2 0.000 0.500 0.000
Na3 0.500 0.000 0.000
Ti1 0.500 0.500 0.500
Hg1 0.000 0.000 0.000

Properties
N(E_F)   15.58 states/eV per cell
Formation energy   0.821 eV per atom

Entry 11:
DFT (PBE) results for a geometry-optimized Na5Tl2Hg structure.

a = 6.940 Å, b = 11.485 Å, c = 6.708 Å
α = 90.00°, β = 121.13°, γ = 90.00°
Fractional coordinates of all 16 atoms:
Na1 0.000 0.000 0.000
Na2 0.001 0.500 0.002
Na3 0.250 0.251 0.500
Na4 0.250 0.749 0.500
Na5 0.499 0.000 0.501
Na6 0.500 0.500 0.000
Na7 0.501 0.000 0.002
Na8 0.750 0.249 0.500
Na9 0.750 0.751 0.500
Na10 0.999 0.500 0.501
Tl1 0.251 0.250 0.000
Tl2 0.251 0.750 0.000
Tl3 0.751 0.250 0.000
Tl4 0.751 0.750 0.000
Hg1 0.001 0.000 0.501
Hg2 0.501 0.500 0.501

Properties
N(E_F)   7.61 states/eV per cell
Formation energy   -0.111 eV per atom

Entry 12:
DFT (PBE) results for a geometry-optimized Na2TlHg4 structure.

a = 7.653 Å, b = 6.347 Å, c = 6.330 Å
α = 74.27°, β = 52.97°, γ = 52.77°
Fractional coordinates of all 7 atoms:
Na1 0.250 0.250 0.250
Na2 0.750 0.750 0.750
Tl1 0.000 0.000 0.000
Hg1 0.299 0.299 0.701
Hg2 0.301 0.699 0.301
Hg3 0.699 0.301 0.699
Hg4 0.701 0.701 0.299

Properties
N(E_F)   2.00 states/eV per cell
Formation energy   -0.164 eV per atom